Compound: PaZn4Co3O12
Source: Alexandria via LeMat-Bulk
Functional: PBE+U
Structure: optimized geometry

Computed properties:
Its uncorrected energy is -5.760 eV per atom.

```
data_PaZn4Co3O12
_cell_length_a 7.4815
_cell_length_b 7.4815
_cell_length_c 7.4815
_cell_angle_alpha 90.00
_cell_angle_beta 90.00
_cell_angle_gamma 90.00
_symmetry_space_group_name_H-M 'I m -3'
_symmetry_Int_Tables_number 204
_symmetry_space_group_name_Hall '-I 2 2 3'
loop_
_atom_site_label
_atom_site_type_symbol
_atom_site_fract_x
_atom_site_fract_y
_atom_site_fract_z
Pa1 Pa 0.0000 0.0000 0.0000
Zn1 Zn 0.2500 0.2500 0.2500
Co1 Co 0.0000 0.0000 0.5000
O1 O 0.0000 0.3046 0.1608
```